## V2GaN (PBE-GGA)

Data for a geometry-optimized V2GaN structure.

E_form (uncorrected) = -764 meV/atom

a b c (Å): 2.8846 2.8846 6.7187
angles (deg): 77.60 77.60 60.00
Last column: nearest neighbours and their distance in Å.
Sites, in units of the cell vectors:
V 0.0577 0.0577 0.8268  3 N 2.01
V 0.2760 0.2760 0.1719  3 N 2.01
Ga 0.4993 0.4993 0.5021  6 V 2.69-2.72, 6 Ga 2.88
N 0.6669 0.6669 0.9992  6 V 2.01